Computed, not measured: a geometry-optimized LiCd2WF structure at the GGA+U level of DFT.

abc: 4.8435 4.8014 4.8435
angles: 90.00 90.00 90.00
Closest atoms and distances in Å follow each position.
Positions (direct):
1 Li 0.0000 0.0000 0.0000  2 W 2.40, 4 Cd 2.42
2 W 0.0000 0.5000 0.0000  2 Li 2.40
3 Cd 0.0000 0.0000 0.5000  2 Li 2.42
4 Cd 0.5000 0.0000 0.0000  2 Li 2.42
5 F 0.5000 0.5000 0.5000  8 Cd 3.41, 4 W 3.42

## Properties
DOS(E_F), states/eV per atom: 0.304
E_tot, eV per cell: -10.4
Magnetic moment, μB per cell: 4.31